First-principles (PBE-GGA) data for an optimized crystal structure of PaAg2PdO8, as listed in Alexandria.

Cell and atoms, written as CIF:
```
data_PaAg2PdO8
_chemical_formula_sum 'Pa2 Ag4 Pd2 O16'
_symmetry_space_group_name_H-M 'I -4 m 2'
_symmetry_Int_Tables_number 119
_symmetry_space_group_name_Hall 'I -4 -2'
_cell_length_a 6.826
_cell_length_b 6.826
_cell_length_c 7.174
_cell_angle_alpha 90.00
_cell_angle_beta 90.00
_cell_angle_gamma 90.00
loop_
_atom_site_label
_atom_site_type_symbol
_atom_site_fract_x
_atom_site_fract_y
_atom_site_fract_z
Pa1 Pa 0.000 0.000 0.000
Ag1 Ag 0.000 0.000 0.500
Ag2 Ag 0.000 0.500 0.750
Pd1 Pd 0.000 0.500 0.250
O1 O 0.000 0.194 0.264
O2 O 0.000 0.324 0.978
```

Energy relative to the elements, uncorrected   -0.67 eV per atom
Total magnetic moment   0.000 μB per formula unit
Final energy   -136.128 eV per cell
D(E_F)   0.888 states/eV/atom